Compound: CsBa3Sc
Source: Alexandria via LeMat-Bulk
Functional: PBE
Structure: optimized geometry

a b c (Å): 6.4738 6.4738 6.4738
angles (deg): 90.00 90.00 90.00
Last column: nearest neighbours and their distance in Å.
Fractional coordinates of all 5 atoms:
Cs  0.0000  0.0000  0.0000  6 Ba 3.24
Sc  0.5000  0.5000  0.5000  12 Ba 4.58
Ba  0.0000  0.5000  0.0000  2 Cs 3.24
Ba  0.0000  0.0000  0.5000  2 Cs 3.24
Ba  0.5000  0.0000  0.0000  2 Cs 3.24

Computed properties:
SG: Pm-3m
Energy of formation from the pure elements: 0.952 eV/atom